The following is a PBE calculation of a geometry-optimized Er7Ga2C2 structure, from the Alexandria database.

a = 6.783 Å, b = 6.783 Å, c = 7.202 Å
α = 93.62°, β = 93.62°, γ = 109.48°
Sites, in units of the cell vectors:
Er  0.000  0.000  0.000
Er  0.062  0.439  0.767
Er  0.416  0.416  0.206
Er  0.439  0.062  0.767
Er  0.561  0.938  0.233
Er  0.584  0.584  0.794
Er  0.938  0.561  0.233
Ga  0.312  0.688  0.500
Ga  0.688  0.312  0.500
C  0.283  0.283  0.902
C  0.717  0.717  0.098

Calculated total energy, eV/atom: -5.13
Symmetry: C2/m, No. 12
Energy of formation, eV per atom: 0.00